[1]
Cu2PBr | meta-GGA SCAN | single point on PBEsol structure

a b c (Å): 6.5570 6.5570 6.5570
angles (deg): 30.19 30.19 30.19
Last column: nearest neighbours and their distance in Å.
Atoms (fractional coordinates):
Cu1 0.2357 0.2357 0.2357  3 P 2.36
Cu2 0.7643 0.7643 0.7643  3 P 2.36
P1 0.5000 0.5000 0.5000  6 Cu 2.36
Br1 0.0000 0.0000 0.0000  6 Cu 2.69

ΔE to the lowest computed polymorph: 0 meV per atom
total DFT energy (no corrections): -15.0232 eV/atom
uncorrected formation energy: 41 meV per atom
calculated volume: 15.788 Å³/atom
symmetry: R-3m, No. 166

[2]
CsHS3 | meta-GGA SCAN | single point on PBEsol structure

a b c (Å): 6.4466 6.4466 6.4466
angles (deg): 90.00 90.00 90.00
Last column: nearest neighbours and their distance in Å.
Atoms (fractional coordinates):
Cs1 0.0000 0.0000 0.0000  6 S 3.22
H1 0.5000 0.5000 0.5000  12 S 4.56
S1 0.0000 0.0000 0.5000  2 Cs 3.22
S2 0.0000 0.5000 0.0000  2 Cs 3.22
S3 0.5000 0.0000 0.0000  2 Cs 3.22

total DFT energy (no corrections): -12.4871 eV/atom
calculated volume: 53.583 Å³/atom
symmetry: Pm-3m, No. 221

[3]
Hg2TePdRu | meta-GGA SCAN | single point on PBEsol structure

a b c (Å): 5.0998 5.0998 4.7020
angles (deg): 90.00 90.00 90.00
Last column: nearest neighbours and their distance in Å.
Atoms (fractional coordinates):
Hg1 0.0000 0.5000 0.0000  2 Ru 2.55
Hg2 0.5000 0.0000 0.0000  2 Ru 2.55
Te1 0.0000 0.0000 0.5000  8 Hg 3.47, 4 Pd 3.61
Pd1 0.5000 0.5000 0.5000  2 Ru 2.35
Ru1 0.5000 0.5000 0.0000  2 Pd 2.35, 4 Hg 2.55

total DFT energy (no corrections): -47.3376 eV/atom
uncorrected formation energy: 899 meV per atom
calculated volume: 24.458 Å³/atom
symmetry: P4/mmm, No. 123

[4]
RbAlTe2 | meta-GGA SCAN | single point on PBEsol structure

a b c (Å): 7.2651 7.2651 7.2651
angles (deg): 112.95 112.95 102.71
Last column: nearest neighbours and their distance in Å.
Atoms (fractional coordinates):
Rb1 0.0000 0.0000 0.0000  4 Te 3.59
Rb2 0.7500 0.2500 0.5000  4 Te 3.59
Al1 0.2500 0.7500 0.5000  4 Te 2.62
Al2 0.5000 0.5000 0.0000  4 Te 2.62
Te1 0.2185 0.1250 0.5935  2 Al 2.62
Te2 0.3750 0.7815 0.9065  2 Al 2.62
Te3 0.5315 0.6250 0.4065  2 Al 2.62
Te4 0.8750 0.4685 0.0935  2 Al 2.62

total DFT energy (no corrections): -26.6313 eV/atom
uncorrected formation energy: -883 meV per atom
calculated volume: 36.519 Å³/atom
symmetry: I-42d, No. 122

[5]
CoTeW2 | meta-GGA SCAN | single point on PBEsol structure

a b c (Å): 2.9053 4.1851 5.3634
angles (deg): 90.00 104.50 90.00
Last column: nearest neighbours and their distance in Å.
Atoms (fractional coordinates):
Co1 0.0000 0.0000 0.0000  4 W 2.65, 2 Te 2.71, 2 Co 2.91
Te1 0.5000 0.0000 0.5000  2 Co 2.71, 4 W 2.72, 2 Te 2.91
W1 0.2655 0.5000 0.7675  1 W 2.52, 2 Co 2.65, 2 Te 2.72
W2 0.7345 0.5000 0.2325  1 W 2.52, 2 Co 2.65, 2 Te 2.72

total DFT energy (no corrections): -47.6624 eV/atom
uncorrected formation energy: 820 meV per atom
calculated volume: 15.784 Å³/atom
symmetry: P2/m, No. 10

[6]
Y3ScTe | meta-GGA SCAN | single point on PBEsol structure

a b c (Å): 5.5821 5.5821 5.5821
angles (deg): 90.00 90.00 90.00
Last column: nearest neighbours and their distance in Å.
Atoms (fractional coordinates):
Y1 0.0000 0.0000 0.5000  2 Te 2.79
Y2 0.0000 0.5000 0.0000  2 Te 2.79
Y3 0.5000 0.0000 0.0000  2 Te 2.79
Sc1 0.5000 0.5000 0.5000  12 Y 3.95
Te1 0.0000 0.0000 0.0000  6 Y 2.79

total DFT energy (no corrections): -27.0652 eV/atom
uncorrected formation energy: -62 meV per atom
calculated volume: 34.788 Å³/atom
symmetry: Pm-3m, No. 221